Below is a geometry-optimized Mg3Cr2 structure, with properties calculated at the GGA-PBE level.

a b c (Å): 4.6969 4.6969 5.7975
angles (deg): 90.00 90.00 120.00
Space group P-3m1 (No. 164)
Asymmetric unit:
Mg (0.0000, 0.0000, 0.0000) (multiplicity 1)
Mg (0.3333, 0.6667, 0.3580) (multiplicity 2)
Cr (0.3333, 0.6667, 0.8664) (multiplicity 2)

Summary:
VASP energy, eV/atom: -4.1983
DOS at the Fermi energy, states/eV/atom: 0.8641
DFT formation energy, eV per atom: 0.6078
ΔE to the lowest computed polymorph, eV per atom: 0.117
Magnetization, μB per cell: 8.12